Below is a relaxed Nd2MgTl4 crystal, with properties calculated at the PBE level.

abc: 5.726 5.726 7.794
angles: 111.46 111.55 90.00
Fractional coordinates of all 7 atoms:
Tl 0.500 0.000 0.000
Tl 0.750 0.250 0.500
Tl 0.000 0.500 0.000
Tl 0.250 0.750 0.500
Nd 0.639 0.640 0.278
Nd 0.361 0.360 0.722
Mg 0.000 0.000 0.000

Values from the calculation:
The value obtained for the formation energy is -66 meV per atom. The density of states at the Fermi level is 4.29 states/eV/f.u. The mass density comes out at 8.59 g cm⁻³. Its crystal system is monoclinic. For the total energy, the calculation gives -0.221 Ry per atom.

Below is a relaxed La2PaSn crystal, with properties calculated at the PBE level.

abc: 5.533 5.533 5.534
angles: 60.01 60.01 60.00
Each line ends with the local moment (μB).
Fractional coordinates of all 4 atoms:
La 0.250 0.250 0.250  0.13
La 0.750 0.750 0.750  0.13
Sn 0.000 0.000 0.000  -0.04
Pa 0.500 0.500 0.500  0.97

Values from the calculation:
The value obtained for the formation energy is 25 meV per atom. The density of states at the Fermi level is 7.56 states/eV/f.u. The mass density comes out at 8.70 g cm⁻³. Its crystal system is cubic. For the total energy, the calculation gives -0.427 Ry per atom. As for the energy above the most stable polymorph in this dataset: 0.2207 eV/atom.

Below is a relaxed Pm3SmY2As6 crystal, with properties calculated at the PBE level.

abc: 4.199 8.390 9.382
angles: 102.89 102.93 90.00
Fractional coordinates of all 12 atoms:
As 0.332 0.421 0.664
As 0.667 0.088 0.333
As 0.998 0.750 0.997
As 0.668 0.579 0.336
As 0.333 0.912 0.667
As 0.002 0.250 0.003
Pm 0.834 0.167 0.667
Pm 0.166 0.833 0.333
Pm 0.500 0.500 0.000
Y 0.833 0.666 0.666
Y 0.167 0.334 0.334
Sm 0.500 0.000 0.000

Values from the calculation:
The value obtained for the formation energy is -1534 meV per atom. The density of states at the Fermi level is 1.82 states/eV/f.u. The mass density comes out at 6.42 g cm⁻³. Its crystal system is monoclinic. For the total energy, the calculation gives -0.479 Ry per atom.

Below is a relaxed TlCuAuI5 crystal, with properties calculated at the PBE level.

abc: 8.886 8.886 9.705
angles: 100.65 100.65 119.78
Fractional coordinates of all 16 atoms:
I 0.637 0.732 0.947
I 0.327 0.854 0.591
I 0.915 0.085 0.750
I 0.268 0.363 0.553
I 0.854 0.327 0.091
I 0.673 0.146 0.409
I 0.732 0.637 0.447
I 0.363 0.268 0.053
I 0.085 0.915 0.250
I 0.146 0.673 0.909
Cu 0.341 0.659 0.750
Cu 0.659 0.341 0.250
Au 0.000 0.000 0.500
Au 0.000 0.000 0.000
Tl 0.657 0.343 0.750
Tl 0.343 0.657 0.250

Values from the calculation:
The density of states at the Fermi level is 4.74 states/eV/f.u. The mass density comes out at 5.91 g cm⁻³. Its crystal system is monoclinic. For the total energy, the calculation gives -0.174 Ry per atom. The raw formation energy comes out at -0.1851 eV per atom.